# meta-GGA SCAN Zr2IN, PBEsol geometry
data_Zr2IN
_cell_length_a 6.874
_cell_length_b 6.874
_cell_length_c 6.874
_cell_angle_alpha 131.43
_cell_angle_beta 131.43
_cell_angle_gamma 71.13
_space_group_name_H-M_alt 'P 1'
_space_group_IT_number 1
_space_group_name_Hall 'P 1'
loop_
_atom_site_label
_atom_site_type_symbol
_atom_site_fract_x
_atom_site_fract_y
_atom_site_fract_z
Zr1 Zr 0.002 0.625 0.877
Zr2 Zr 0.375 0.252 0.377
Zr3 Zr 0.748 0.125 0.123
Zr4 Zr 0.875 0.998 0.623
I1 I 0.250 0.750 0.500
I2 I 0.500 0.500 0.000
N1 N 0.000 0.000 0.000
N2 N 0.750 0.250 0.500
# E_form (uncorrected): -0.652 eV/atom
# DOS(E_F): 2.44 states/eV/f.u.
# space group: I-42d